Version a
NaAcH: optimized geometry, PBE.

Cell lengths 3.8564, 3.8564, 6.6291 Å; angles 90.00, 90.00, 120.00 degrees
With the nearest neighbours (Å) after each atom.
Fractional coordinates of all 3 atoms:
1 Na 0.0000 0.0000 0.0665  3 H 3.05
2 Ac 0.3333 0.6667 0.5527  3 H 2.50
3 H 0.6667 0.3333 0.3808  3 Ac 2.50

Calculated values
DOS(E_F)   0.6747 states/eV per atom

---

Version b
NaAcH: optimized geometry, PBE.

Cell lengths 5.6925, 5.6110, 19.5955 Å; angles 90.00, 90.00, 90.00 degrees
With the nearest neighbours (Å) after each atom.
Fractional coordinates of all 24 atoms:
1 Na 0.9899 0.2500 0.5006  4 Na 2.73-2.96
2 Na 0.0101 0.2500 0.0006  4 Na 2.73-2.96
3 Na 0.5101 0.7500 0.9994  4 Na 2.73-2.96
4 Na 0.4899 0.7500 0.4994  4 Na 2.73-2.96
5 Na 0.0101 0.7500 0.4994  4 Na 2.73-2.96
6 Na 0.9899 0.7500 0.9994  4 Na 2.73-2.96
7 Na 0.4899 0.2500 0.0006  4 Na 2.73-2.96
8 Na 0.5101 0.2500 0.5006  4 Na 2.73-2.96
9 Ac 0.2500 0.2978 0.3195  2 H 2.52-2.80
10 Ac 0.7500 0.2022 0.8195  2 H 2.52-2.80
11 Ac 0.2500 0.7978 0.1805  2 H 2.52-2.80
12 Ac 0.7500 0.7022 0.6805  2 H 2.52-2.80
13 Ac 0.2500 0.2020 0.6809  2 H 2.52-2.80
14 Ac 0.7500 0.2980 0.1809  2 H 2.52-2.80
15 Ac 0.2500 0.7020 0.8191  2 H 2.52-2.80
16 Ac 0.7500 0.7980 0.3191  2 H 2.52-2.80
17 H 0.2500 0.3007 0.1909  2 Ac 2.52-2.80
18 H 0.7500 0.1993 0.6909  2 Ac 2.52-2.80
19 H 0.2500 0.8007 0.3091  2 Ac 2.52-2.80
20 H 0.7500 0.6993 0.8091  2 Ac 2.52-2.80
21 H 0.2500 0.1998 0.8093  2 Ac 2.52-2.80
22 H 0.7500 0.3002 0.3094  2 Ac 2.52-2.80
23 H 0.2500 0.6998 0.6906  2 Ac 2.52-2.80
24 H 0.7500 0.8002 0.1906  2 Ac 2.52-2.80

Calculated values
DOS(E_F)   0.4053 states/eV per atom

---

Most stable: version a. Least stable: version b.